Entry 1:
An optimized crystal structure of LaFeP3, computed with PBEsol.

Calculated values
Energy (eV per atom): -4.79
Energy of formation (kJ per mole of atoms): 149.0
Space group: No. 221
Spin magnetization (μB/f.u.): 4.0
Crystal system: cubic

abc: 5.201 5.201 5.201
angles: 90.00 90.00 90.00
Site moments in Bohr magnetons follow the coordinates.
Atoms (fractional coordinates):
La  0.000  0.000  0.000  -0.05
Fe  0.500  0.500  0.500  -3.45
P  0.000  0.500  0.000  -0.05
P  0.500  0.000  0.000  -0.05
P  0.000  0.000  0.500  -0.05


Entry 2:
An optimized crystal structure of Tl2NiRu, computed with PBEsol.

Calculated values
Energy (eV per atom): -4.92
Energy of formation (kJ per mole of atoms): 46.2
Space group: No. 225
Spin magnetization (μB/f.u.): 0.0
Crystal system: cubic

abc: 4.553 4.553 4.553
angles: 60.00 60.00 60.00
Atoms (fractional coordinates):
Ru  0.500  0.500  0.500
Ni  0.000  0.000  0.000
Tl  0.250  0.250  0.250
Tl  0.750  0.750  0.750


Entry 3:
An optimized crystal structure of CaTlRu, computed with PBEsol.

Calculated values
Energy (eV per atom): -4.59
Energy of formation (kJ per mole of atoms): 37.9
Space group: No. 156
Spin magnetization (μB/f.u.): 0.0
Crystal system: trigonal

abc: 3.337 3.337 6.718
angles: 90.00 90.00 120.00
Atoms (fractional coordinates):
Ca  0.000  0.000  0.967
Ru  0.667  0.333  0.663
Tl  0.333  0.667  0.370